NaFeC2 | GGA-PBEsol | relaxed

Results
crystal system: cubic
polymorph energy (0 for the lowest one): 1129 meV per atom
SG: No. 225

Cell and atoms, written as CIF:
```
data_NaFeC2
_symmetry_space_group_name_H-M 'P 1'
_symmetry_Int_Tables_number 1
_cell_length_a 3.6557
_cell_length_b 3.6557
_cell_length_c 3.6557
_cell_angle_alpha 60.00
_cell_angle_beta 60.00
_cell_angle_gamma 60.00
loop_
_symmetry_equiv_pos_as_xyz
'x,y,z'
loop_
_atom_site_label
_atom_site_fract_x
_atom_site_fract_y
_atom_site_fract_z
Na1 0.0000 0.0000 0.0000
C1 0.2500 0.2500 0.2500
C2 0.7500 0.7500 0.7500
Fe1 0.5000 0.5000 0.5000
```

HgPC3 | GGA-PBEsol | relaxed

Results
crystal system: cubic
SG: No. 221

Cell and atoms, written as CIF:
```
data_HgPC3
_symmetry_space_group_name_H-M 'P 1'
_symmetry_Int_Tables_number 1
_cell_length_a 3.7374
_cell_length_b 3.7374
_cell_length_c 3.7374
_cell_angle_alpha 90.00
_cell_angle_beta 90.00
_cell_angle_gamma 90.00
loop_
_symmetry_equiv_pos_as_xyz
'x,y,z'
loop_
_atom_site_label
_atom_site_fract_x
_atom_site_fract_y
_atom_site_fract_z
P1 0.0000 0.0000 0.0000
C1 0.0000 0.5000 0.0000
C2 0.0000 0.0000 0.5000
C3 0.5000 0.0000 0.0000
Hg1 0.5000 0.5000 0.5000
```

Number 1: energy of formation 7.251 eV/f.u.. Number 2: energy of formation 10.570 eV/f.u..